# PBE ScB2O4, optimized geometry
# Calculated total energy (eV/cell): -55.5
# Formation energy from raw total energies (eV per atom): -2.281
# ρ (kg/m³): 3349
data_ScB2O4
_symmetry_space_group_name_H-M 'P -4 2 m'
_symmetry_Int_Tables_number 111
_cell_length_a 3.546
_cell_length_b 3.546
_cell_length_c 5.150
_cell_angle_alpha 90.00
_cell_angle_beta 90.00
_cell_angle_gamma 90.00
loop_
_symmetry_equiv_pos_as_xyz
'x,y,z'
'y,-x,-z'
'-x,-y,z'
'-y,x,-z'
'x,-y,-z'
'y,x,z'
'-x,y,-z'
'-y,-x,z'
loop_
_atom_site_label
_atom_site_fract_x
_atom_site_fract_y
_atom_site_fract_z
Sc1 0.000 0.000 0.000
B1 0.000 0.500 0.500
O1 0.251 0.251 0.663